RbScI2: optimized geometry, PBE.

POSCAR file:
```
RbScI2
1.0
-1.421 3.733 1.226
-2.151 0.349 3.564
7.140 2.931 6.471
I Sc Rb
2 1 1
Cartesian
0.348 1.651 2.497 I
3.221 5.362 8.764 I
0.000 0.000 0.000 Sc
1.784 3.506 5.630 Rb
```

Properties
**Energy relative to the elements, uncorrected**: -0.80 eV/atom
**Total magnetic moment**: 0.0924 μB/atom